Entry from Alexandria via LeMat-Bulk: BaLaCl2 after structural relaxation (PBE-GGA).

The space group is Cmmm (No. 65) and the conventional cell measures 3.7997, 7.3010 and 9.7341 Å, with angles of 90.00, 90.00 and 90.00 degrees. The inequivalent atoms are Ba at (0.0000, 0.0000, 0.0000), La at (0.0000, 0.0000, 0.5000) and Cl at (0.0000, 0.5000, 0.2639).

As for the final energy: -4.124 eV/atom. The value obtained for the energy relative to the elements, uncorrected is -6.0 eV per formula unit. For the energy above the most stable polymorph in this dataset, the calculation gives 0.110 eV/atom.

---

Entry from Alexandria via LeMat-Bulk: Mn2InW after structural relaxation (PBE-GGA).

The space group is I-42d (No. 122) and the conventional cell measures 7.0354, 7.0354 and 5.5249 Å, with angles of 90.00, 90.00 and 90.00 degrees. The inequivalent atoms are Mn at (0.2120, 0.2500, 0.1250), In at (0.0000, 0.0000, 0.5000) and W at (0.0000, 0.0000, 0.0000).

As for the final energy: -7.686 eV/atom. For the calculated formation energy, the calculation gives 0.8218 eV/atom.

---

Entry from Alexandria via LeMat-Bulk: LiLaY after structural relaxation (PBE-GGA).

The space group is C2/m (No. 12) and the conventional cell measures 3.8165, 5.7767 and 16.8573 Å, with angles of 90.00, 90.50 and 90.00 degrees. The inequivalent atoms are Li at (0.2494, 0.0000, 0.4334), La at (0.2002, 0.0000, 0.0976) and Y at (0.2441, 0.5000, 0.2747).

As for the final energy: -4.301 eV/atom. For the calculated formation energy, the calculation gives 0.1340 eV/atom. For the energy above the most stable polymorph in this dataset, the calculation gives 0.077 eV/atom.

---

Repeat the first record exactly.
Entry from Alexandria via LeMat-Bulk: BaLaCl2 after structural relaxation (PBE-GGA).

The space group is Cmmm (No. 65) and the conventional cell measures 3.7997, 7.3010 and 9.7341 Å, with angles of 90.00, 90.00 and 90.00 degrees. The inequivalent atoms are Ba at (0.0000, 0.0000, 0.0000), La at (0.0000, 0.0000, 0.5000) and Cl at (0.0000, 0.5000, 0.2639).

As for the final energy: -4.124 eV/atom. The value obtained for the energy relative to the elements, uncorrected is -6.0 eV per formula unit. For the energy above the most stable polymorph in this dataset, the calculation gives 0.110 eV/atom.

---

- Which value of final energy does entry 3 give?
  -4.301 eV/atom

---

- The lowest final energy belongs to which entry?
  Mn2InW

---

- Number 1 is which compound?
  BaLaCl2